1.
First-principles (PBE) data for an optimized crystal structure of RbGeCl2, as listed in the Alexandria database.

Cell lengths 9.557, 9.557, 9.557 Å; angles 25.59, 25.59, 25.59 degrees
Fractional positions:
Ge: 0.000 0.000 0.000
Rb: 0.500 0.500 0.500
Cl: 0.908 0.908 0.908
Cl: 0.092 0.092 0.092

Its raw formation energy is -0.85 eV/atom. The calculation puts the volume at 143 Å³/f.u. The magnetic moment comes out at 0.01 μB/atom. The value obtained for the density of states at the Fermi level is 2.06 states/eV/f.u. The calculation puts the energy above the most stable polymorph in this dataset at 0 meV/atom. Its symmetry is R-3m.


2.
First-principles (PBE) data for an optimized crystal structure of RbGeCl3, as listed in the Alexandria database.

Cell lengths 7.218, 5.881, 8.495 Å; angles 71.88, 90.00, 90.00 degrees
Fractional positions:
Rb: 0.750 0.665 0.697
Rb: 0.250 0.335 0.303
Ge: 0.750 0.934 0.130
Ge: 0.250 0.066 0.870
Cl: 0.750 0.342 0.112
Cl: 0.250 0.658 0.888
Cl: 0.492 0.175 0.675
Cl: 0.992 0.825 0.325
Cl: 0.008 0.175 0.675
Cl: 0.508 0.825 0.325

Its raw formation energy is -1.33 eV/atom. The calculation puts the volume at 171 Å³/f.u. The magnetic moment comes out at 0.00 μB/atom. The value obtained for the density of states at the Fermi level is 0.00 states/eV/f.u. Its symmetry is P2_1/m.


3.
First-principles (PBE) data for an optimized crystal structure of Rb4GeCl6, as listed in the Alexandria database.

Cell lengths 9.532, 8.936, 12.851 Å; angles 65.72, 68.23, 57.77 degrees
Fractional positions:
Rb: 0.222 0.955 0.687
Rb: 0.136 0.455 0.187
Rb: 0.677 0.235 0.436
Rb: 0.652 0.735 0.936
Rb: 0.028 0.606 0.647
Rb: 0.720 0.106 0.147
Rb: 0.580 0.338 0.781
Rb: 0.302 0.838 0.281
Ge: 0.669 0.713 0.459
Ge: 0.159 0.213 0.959
Cl: 0.443 0.532 0.148
Cl: 0.876 0.032 0.648
Cl: 0.401 0.612 0.540
Cl: 0.446 0.112 0.040
Cl: 0.466 0.036 0.413
Cl: 0.085 0.536 0.913
Cl: 0.914 0.269 0.886
Cl: 0.932 0.769 0.386
Cl: 0.973 0.210 0.194
Cl: 0.623 0.710 0.694
Cl: 0.340 0.182 0.762
Cl: 0.716 0.682 0.262

Its raw formation energy is -1.62 eV/atom. The calculation puts the volume at 414 Å³/f.u. The magnetic moment comes out at 0.00 μB/atom. The value obtained for the density of states at the Fermi level is 0.00 states/eV/f.u. Its symmetry is Cc.


4.
First-principles (PBE) data for an optimized crystal structure of RbGe3Cl, as listed in the Alexandria database.

Cell lengths 6.072, 6.072, 6.072 Å; angles 90.00, 90.00, 90.00 degrees
Fractional positions:
Ge: 0.000 0.500 0.000
Ge: 0.000 0.000 0.500
Ge: 0.500 0.000 0.000
Rb: 0.000 0.000 0.000
Cl: 0.500 0.500 0.500

Its raw formation energy is 1.58 eV/atom. The calculation puts the volume at 224 Å³/f.u. The magnetic moment comes out at 0.65 μB/atom. The value obtained for the density of states at the Fermi level is 5.60 states/eV/f.u. The calculation puts the energy above the most stable polymorph in this dataset at 1033 meV/atom. Its symmetry is Pm-3m.


5.
First-principles (PBE) data for an optimized crystal structure of RbGeCl2, as listed in the Alexandria database.

Cell lengths 5.379, 5.379, 5.379 Å; angles 60.00, 60.00, 60.00 degrees
Fractional positions:
Ge: 0.000 0.000 0.000
Rb: 0.500 0.500 0.500
Cl: 0.250 0.250 0.250
Cl: 0.750 0.750 0.750

Its raw formation energy is -0.65 eV/atom. The calculation puts the volume at 110 Å³/f.u. The magnetic moment comes out at 0.25 μB/atom. The value obtained for the density of states at the Fermi level is 4.45 states/eV/f.u. The calculation puts the energy above the most stable polymorph in this dataset at 204 meV/atom. Its symmetry is Fm-3m.


6.
First-principles (PBE) data for an optimized crystal structure of Rb2Ge3Cl8, as listed in the Alexandria database.

Cell lengths 7.036, 8.048, 8.853 Å; angles 117.04, 106.01, 90.00 degrees
Fractional positions:
Rb: 0.324 0.266 0.532
Rb: 0.676 0.734 0.468
Ge: 0.500 0.000 0.000
Ge: 0.000 0.260 0.000
Ge: 0.000 0.740 0.000
Cl: 0.959 0.603 0.206
Cl: 0.041 0.397 0.794
Cl: 0.889 0.103 0.206
Cl: 0.111 0.897 0.794
Cl: 0.613 0.671 0.803
Cl: 0.613 0.132 0.803
Cl: 0.387 0.868 0.197
Cl: 0.387 0.329 0.197

Its raw formation energy is -1.16 eV/atom. The calculation puts the volume at 425 Å³/f.u. The magnetic moment comes out at 0.00 μB/atom. The value obtained for the density of states at the Fermi level is 0.00 states/eV/f.u. Its symmetry is C2/m.


7.
First-principles (PBE) data for an optimized crystal structure of RbGeCl6, as listed in the Alexandria database.

Cell lengths 6.377, 8.146, 6.326 Å; angles 49.92, 79.31, 73.25 degrees
Fractional positions:
Rb: 0.000 0.000 0.000
Ge: 0.500 0.500 0.000
Cl: 0.764 0.566 0.665
Cl: 0.764 0.231 0.335
Cl: 0.236 0.769 0.665
Cl: 0.236 0.434 0.335
Cl: 0.572 0.763 0.000
Cl: 0.428 0.237 0.000

Its raw formation energy is -0.88 eV/atom. The calculation puts the volume at 241 Å³/f.u. The magnetic moment comes out at 0.12 μB/atom. The value obtained for the density of states at the Fermi level is 11.24 states/eV/f.u. Its symmetry is C2/m.


8.
First-principles (PBE) data for an optimized crystal structure of RbGeSCl2, as listed in the Alexandria database.

Cell lengths 5.729, 5.729, 5.397 Å; angles 90.00, 90.00, 90.00 degrees
Fractional positions:
Ge: 0.500 0.500 0.500
S: 0.000 0.000 0.500
Rb: 0.000 0.000 0.000
Cl: 0.000 0.500 0.000
Cl: 0.500 0.000 0.000

Its raw formation energy is 0.38 eV/atom. The calculation puts the volume at 177 Å³/f.u. The magnetic moment comes out at 0.00 μB/atom. The value obtained for the density of states at the Fermi level is 1.71 states/eV/f.u. The calculation puts the energy above the most stable polymorph in this dataset at 1294 meV/atom. Its symmetry is P4/mmm.


9.
First-principles (PBE) data for an optimized crystal structure of RbGeSCl2, as listed in the Alexandria database.

Cell lengths 5.343, 5.343, 4.654 Å; angles 90.00, 90.00, 90.00 degrees
Fractional positions:
Ge: 0.000 0.000 0.000
S: 0.000 0.000 0.500
Rb: 0.500 0.500 0.500
Cl: 0.000 0.500 0.000
Cl: 0.500 0.000 0.000

Its raw formation energy is -0.91 eV/atom. The calculation puts the volume at 133 Å³/f.u. The magnetic moment comes out at 0.00 μB/atom. The value obtained for the density of states at the Fermi level is 0.79 states/eV/f.u. The calculation puts the energy above the most stable polymorph in this dataset at 0 meV/atom. Its symmetry is P4/mmm.


10.
First-principles (PBE) data for an optimized crystal structure of RbGeS2Cl, as listed in the Alexandria database.

Cell lengths 5.425, 5.425, 5.698 Å; angles 90.00, 90.00, 90.00 degrees
Fractional positions:
Ge: 0.500 0.500 0.500
S: 0.000 0.500 0.000
S: 0.500 0.000 0.000
Rb: 0.000 0.000 0.000
Cl: 0.000 0.000 0.500

Its raw formation energy is 0.87 eV/atom. The calculation puts the volume at 168 Å³/f.u. The magnetic moment comes out at 0.10 μB/atom. The value obtained for the density of states at the Fermi level is 4.12 states/eV/f.u. The calculation puts the energy above the most stable polymorph in this dataset at 1452 meV/atom. Its symmetry is P4/mmm.


11.
First-principles (PBE) data for an optimized crystal structure of RbGeS2Cl, as listed in the Alexandria database.

Cell lengths 4.769, 4.769, 5.532 Å; angles 90.00, 90.00, 90.00 degrees
Fractional positions:
Ge: 0.000 0.000 0.000
S: 0.000 0.500 0.000
S: 0.500 0.000 0.000
Rb: 0.500 0.500 0.500
Cl: 0.000 0.000 0.500

Its raw formation energy is -0.58 eV/atom. The calculation puts the volume at 126 Å³/f.u. The magnetic moment comes out at 0.00 μB/atom. The value obtained for the density of states at the Fermi level is 0.53 states/eV/f.u. The calculation puts the energy above the most stable polymorph in this dataset at 0 meV/atom. Its symmetry is P4/mmm.


12.
First-principles (PBE) data for an optimized crystal structure of RbSnGeCl5, as listed in the Alexandria database.

Cell lengths 7.643, 7.643, 11.171 Å; angles 110.25, 110.25, 96.73 degrees
Fractional positions:
Rb: 0.326 0.674 0.250
Rb: 0.674 0.326 0.750
Sn: 0.000 0.000 0.500
Sn: 0.000 0.000 0.000
Ge: 0.733 0.267 0.250
Ge: 0.267 0.733 0.750
Cl: 0.031 0.969 0.250
Cl: 0.969 0.031 0.750
Cl: 0.881 0.346 0.081
Cl: 0.119 0.654 0.919
Cl: 0.654 0.119 0.419
Cl: 0.346 0.881 0.581
Cl: 0.774 0.600 0.398
Cl: 0.226 0.400 0.602
Cl: 0.400 0.226 0.102
Cl: 0.600 0.774 0.898

Its raw formation energy is -1.17 eV/atom. The calculation puts the volume at 277 Å³/f.u. The magnetic moment comes out at 0.00 μB/atom. The value obtained for the density of states at the Fermi level is 0.00 states/eV/f.u. Its symmetry is C2/c.